A plane-wave DFT calculation with meta-GGA SCAN was carried out for a PBEsol-optimized structure of KBiO2.

Calculated values
Calculated volume in Å³ per cell: 353
Formation energy from raw total energies in eV/atom: -1.2116
VASP energy in hartree per atom: -0.95748

Cell and atoms, written as CIF:
```
data_KBiO2
_symmetry_space_group_name_H-M 'I -4 2 d'
_symmetry_Int_Tables_number 122
_symmetry_space_group_name_Hall 'I -4 2bw'
_cell_length_a 6.052
_cell_length_b 6.052
_cell_length_c 9.632
_cell_angle_alpha 90.00
_cell_angle_beta 90.00
_cell_angle_gamma 90.00
loop_
_atom_site_label
_atom_site_fract_x
_atom_site_fract_y
_atom_site_fract_z
_atom_site_occupancy
K1 0.000 0.000 0.000 1
Bi1 0.000 0.000 0.500 1
O1 0.187 0.750 0.625 1
```